# PrNp2As3

A geometry-optimized PrNp2As3 structure (GGA-PBE, the Alexandria database).

Unit cell a=4.1679 b=5.9028 c=12.5281 alpha=90.00 beta=90.00 gamma=90.00
Space group Immm (No. 71)
One atom of each set of equivalent atoms:
Pr (0.0000, 0.0000, 0.0000)
Np (0.0000, 0.0000, 0.3355)
As (0.0000, 0.5000, 0.0000)
As (0.0000, 0.5000, 0.3246)

- uncorrected energy (eV per atom) = -8.38
- Fermi-level density of states (states/eV per atom) = 3.291
- formation energy from the elements (kJ per mole of atoms) = -90.8

---

# PrNpAs

A geometry-optimized PrNpAs structure (GGA-PBE, the Alexandria database).

Unit cell a=10.6010 b=3.9467 c=8.4016 alpha=90.00 beta=119.92 gamma=90.00
Space group C2/m (No. 12)
One atom of each set of equivalent atoms:
Pr (0.0694, 0.0000, 0.3570)
Np (0.1293, 0.5000, 0.0294)
As (0.1753, 0.5000, 0.7034)

- uncorrected energy (eV per atom) = -7.98
- Fermi-level density of states (states/eV per atom) = 1.588
- formation energy from the elements (kJ per mole of atoms) = -50.7

---

# PrNp3As4

A geometry-optimized PrNp3As4 structure (GGA-PBE, the Alexandria database).

Unit cell a=5.8839 b=5.8839 c=5.8839 alpha=90.00 beta=90.00 gamma=90.00
Space group Pm-3m (No. 221)
One atom of each set of equivalent atoms:
Pr (0.0000, 0.0000, 0.0000)
Np (0.0000, 0.5000, 0.5000)
As (0.0000, 0.0000, 0.5000)
As (0.5000, 0.5000, 0.5000)

- uncorrected energy (eV per atom) = -8.64
- Fermi-level density of states (states/eV per atom) = 3.158
- formation energy from the elements (kJ per mole of atoms) = -83.6

---

# Pr2NpAs3Pt4

A geometry-optimized Pr2NpAs3Pt4 structure (GGA-PBE, the Alexandria database).

Unit cell a=4.3063 b=4.3063 c=11.4168 alpha=90.00 beta=90.00 gamma=90.00
Space group P-4m2 (No. 115)
One atom of each set of equivalent atoms:
Pr (0.0000, 0.5000, 0.2177)
Np (0.0000, 0.0000, 0.5000)
As (0.0000, 0.5000, 0.8753)
As (0.5000, 0.5000, 0.5000)
Pt (0.0000, 0.0000, 0.0000)
Pt (0.0000, 0.5000, 0.6601)
Pt (0.5000, 0.5000, 0.0000)

- uncorrected energy (eV per atom) = -6.85
- Fermi-level density of states (states/eV per atom) = 0.919
- formation energy from the elements (kJ per mole of atoms) = -76.3

---

# Pr2Pu3NpAs6

A geometry-optimized Pr2Pu3NpAs6 structure (GGA-PBE, the Alexandria database).

Unit cell a=18.2413 b=4.1855 c=8.3855 alpha=90.00 beta=103.09 gamma=90.00
Space group C2/m (No. 12)
One atom of each set of equivalent atoms:
Pr (0.1661, 0.0000, 0.3329)
Pu (0.0000, 0.5000, 0.5000)
Pu (0.1684, 0.0000, 0.8351)
Np (0.0000, 0.5000, 0.0000)
As (0.0036, 0.0000, 0.7560)
As (0.1640, 0.5000, 0.5921)
As (0.1652, 0.5000, 0.0727)

- uncorrected energy (eV per atom) = -8.88
- Fermi-level density of states (states/eV per atom) = 3.921
- formation energy from the elements (kJ per mole of atoms) = -105.4

---

# Pr2NpAs4Rh3

A geometry-optimized Pr2NpAs4Rh3 structure (GGA-PBE, the Alexandria database).

Unit cell a=4.3340 b=4.3340 c=11.0585 alpha=90.00 beta=90.00 gamma=90.00
Space group P-4m2 (No. 115)
One atom of each set of equivalent atoms:
Pr (0.0000, 0.5000, 0.2219)
Np (0.0000, 0.0000, 0.5000)
As (0.0000, 0.0000, 0.0000)
As (0.0000, 0.5000, 0.6681)
As (0.5000, 0.5000, 0.0000)
Rh (0.0000, 0.5000, 0.8920)
Rh (0.5000, 0.5000, 0.5000)

- uncorrected energy (eV per atom) = -7.10
- Fermi-level density of states (states/eV per atom) = 1.030
- formation energy from the elements (kJ per mole of atoms) = -75.8

---

- Which value of uncorrected energy does entry 4 give?
  -6.85 eV per atom